{"formula": "Nd2ThScSb4", "functional": "PBE", "state": "relaxed", "lattice": [[7.6589, 0.0000, 0.0000], [0.0000, 4.4530, 0.0000], [-2.5760, 0.0000, 7.2725]], "species": ["Nd", "Nd", "Th", "Sc", "Sb", "Sb", "Sb", "Sb"], "fractional_positions": [[0.0000, 0.0000, 0.0000], [0.5000, 0.5000, 0.0000], [0.0000, 0.5000, 0.5000], [0.5000, 0.0000, 0.5000], [0.2580, 0.0000, 0.7421], [0.2654, 0.5000, 0.2659], [0.7346, 0.5000, 0.7341], [0.7420, 0.0000, 0.2579]], "n_ef_per_ev_atom": 0.229, "dft_energy_ev_per_cell": -48.159, "density_g_cm3": 7.046, "vol_a3_per_atom": 31.0}